[1]
CaIr after structural relaxation. Source: Alexandria, functional PBE.

Calculated formation energy: -147 meV per atom
Space group: Imma, No. 74

a = 6.240 Å, b = 6.240 Å, c = 6.240 Å
α = 151.46°, β = 133.69°, γ = 55.30°
Fractional coordinates of all 4 atoms:
Ca: 0.727 0.227 0.500
Ca: 0.023 0.023 0.000
Ir: 0.280 0.780 0.500
Ir: 0.470 0.470 0.000

[2]
Dy6Ni2Ir after structural relaxation. Source: Alexandria, functional PBE.

Calculated formation energy: -427 meV per atom
Space group: Immm, No. 71

a = 8.192 Å, b = 8.192 Å, c = 8.192 Å
α = 109.03°, β = 109.22°, γ = 110.17°
Fractional coordinates of all 18 atoms:
Ir: 0.000 0.000 0.000
Ir: 0.000 0.500 0.500
Ni: 0.500 0.380 0.880
Ni: 0.661 0.000 0.661
Ni: 0.339 0.000 0.339
Ni: 0.500 0.620 0.120
Dy: 0.692 0.363 0.671
Dy: 0.183 0.743 0.927
Dy: 0.308 0.979 0.671
Dy: 0.088 0.262 0.826
Dy: 0.817 0.743 0.560
Dy: 0.183 0.257 0.440
Dy: 0.308 0.637 0.329
Dy: 0.817 0.257 0.073
Dy: 0.564 0.738 0.826
Dy: 0.692 0.021 0.329
Dy: 0.436 0.262 0.174
Dy: 0.912 0.738 0.174

[3]
CsCd2As2 after structural relaxation. Source: Alexandria, functional PBE.

Calculated formation energy: -266 meV per atom
ΔE to the lowest computed polymorph: 0.001 eV/atom
Space group: Fddd, No. 70

a = 8.173 Å, b = 8.173 Å, c = 7.034 Å
α = 104.06°, β = 104.06°, γ = 125.58°
Fractional coordinates of all 10 atoms:
As: 0.862 0.138 0.000
As: 0.138 0.862 0.000
As: 0.112 0.888 0.500
As: 0.388 0.612 0.500
Cd: 0.161 0.161 0.323
Cd: 0.411 0.911 0.823
Cd: 0.089 0.589 0.177
Cd: 0.839 0.839 0.677
Cs: 0.750 0.250 0.500
Cs: 0.500 0.500 0.000

[4]
MgOs2Ru after structural relaxation. Source: Alexandria, functional PBE.

Calculated formation energy: 415 meV per atom
Space group: P4/mmm, No. 123

a = 4.069 Å, b = 3.804 Å, c = 3.804 Å
α = 90.00°, β = 90.00°, γ = 90.00°
Fractional coordinates of all 4 atoms:
Ru: 0.500 0.500 0.000
Os: 0.000 0.000 0.000
Os: 0.000 0.500 0.500
Mg: 0.500 0.000 0.500

[5]
Ac3CeIr after structural relaxation. Source: Alexandria, functional PBE.

Calculated formation energy: -114 meV per atom
Space group: Pm-3m, No. 221

a = 5.913 Å, b = 5.913 Å, c = 5.913 Å
α = 90.00°, β = 90.00°, γ = 90.00°
Each line ends with the local moment (μB).
Fractional coordinates of all 5 atoms:
Ac: 0.500 0.000 0.000  0.08
Ac: 0.000 0.500 0.000  0.08
Ac: 0.000 0.000 0.500  0.08
Ce: 0.500 0.500 0.500  1.40
Ir: 0.000 0.000 0.000  0.04

[6]
Zn2SbMo2 after structural relaxation. Source: Alexandria, functional PBE.

Space group: P4/mbm, No. 127

a = 6.848 Å, b = 6.848 Å, c = 3.816 Å
α = 90.00°, β = 90.00°, γ = 90.00°
Fractional coordinates of all 10 atoms:
Mo: 0.127 0.373 0.000
Mo: 0.373 0.873 0.000
Mo: 0.627 0.127 0.000
Mo: 0.873 0.627 0.000
Zn: 0.835 0.335 0.500
Zn: 0.335 0.165 0.500
Zn: 0.665 0.835 0.500
Zn: 0.165 0.665 0.500
Sb: 0.000 0.000 0.000
Sb: 0.500 0.500 0.000

[7]
LaHfAu after structural relaxation. Source: Alexandria, functional PBE.

Calculated formation energy: -338 meV per atom
ΔE to the lowest computed polymorph: 0.067 eV/atom
Space group: I4mm, No. 107

a = 3.488 Å, b = 8.317 Å, c = 6.980 Å
α = 129.03°, β = 90.07°, γ = 102.06°
Fractional coordinates of all 6 atoms:
Hf: 0.612 0.764 0.335
Hf: 0.611 0.763 0.835
La: 0.918 0.376 0.795
La: 0.917 0.376 0.295
Au: 0.225 0.990 0.255
Au: 0.225 0.990 0.755

[8]
Cd2GeHIr after structural relaxation. Source: Alexandria, functional PBE.

Space group: P4/mmm, No. 123

a = 4.236 Å, b = 4.267 Å, c = 4.236 Å
α = 90.00°, β = 90.00°, γ = 90.00°
Fractional coordinates of all 5 atoms:
Ge: 0.000 0.500 0.000
Cd: 0.000 0.000 0.500
Cd: 0.500 0.000 0.000
H: 0.000 0.000 0.000
Ir: 0.500 0.500 0.500

[9]
Be2OsO2 after structural relaxation. Source: Alexandria, functional PBE.

ΔE to the lowest computed polymorph: 0.000 eV/atom
Space group: I4/mmm, No. 139

a = 3.068 Å, b = 3.068 Å, c = 5.815 Å
α = 74.70°, β = 74.70°, γ = 90.00°
Each line ends with the local moment (μB).
Fractional coordinates of all 5 atoms:
O: 0.199 0.199 0.603  -0.01
O: 0.801 0.801 0.397  -0.01
Be: 0.250 0.750 0.500  0.00
Be: 0.750 0.250 0.500  0.00
Os: 0.000 0.000 0.000  0.69

[10]
Rb3Zr3PaSe8 after structural relaxation. Source: Alexandria, functional PBE.

Space group: R-3m, No. 166

a = 7.852 Å, b = 7.850 Å, c = 9.448 Å
α = 114.56°, β = 90.00°, γ = 120.01°
Each line ends with the local moment (μB).
Fractional coordinates of all 15 atoms:
Zr: 0.500 0.000 0.500  0.20
Zr: 0.500 0.500 0.500  0.20
Zr: 0.000 0.500 0.500  0.20
Se: 0.239 0.959 0.697  -0.01
Se: 0.761 0.041 0.303  -0.01
Se: 0.761 0.522 0.303  -0.01
Se: 0.239 0.478 0.697  -0.01
Se: 0.269 0.538 0.307  0.00
Se: 0.720 0.959 0.697  -0.01
Se: 0.280 0.041 0.303  -0.01
Se: 0.731 0.462 0.693  0.00
Rb: 0.000 0.000 0.000  0.00
Rb: 0.500 0.500 0.000  0.00
Rb: 0.000 0.500 0.000  0.00
Pa: 0.000 0.000 0.500  0.92

[11]
BaCd2Au after structural relaxation. Source: Alexandria, functional PBE.

Calculated formation energy: -425 meV per atom
Space group: Immm, No. 71

a = 4.952 Å, b = 10.388 Å, c = 10.819 Å
α = 118.69°, β = 103.23°, γ = 90.00°
Fractional coordinates of all 16 atoms:
Cd: 0.690 0.042 0.381
Cd: 0.690 0.339 0.381
Cd: 0.310 0.661 0.619
Cd: 0.086 0.086 0.173
Cd: 0.075 0.575 0.151
Cd: 0.914 0.914 0.827
Cd: 0.310 0.958 0.619
Cd: 0.925 0.425 0.849
Ba: 0.500 0.245 0.000
Ba: 0.294 0.294 0.588
Ba: 0.500 0.755 0.000
Ba: 0.706 0.706 0.412
Au: 0.150 0.887 0.299
Au: 0.850 0.113 0.701
Au: 0.150 0.412 0.299
Au: 0.850 0.588 0.701

[12]
GaP2PtO after structural relaxation. Source: Alexandria, functional PBE.

ΔE to the lowest computed polymorph: 0.000 eV/atom
Space group: P4/mmm, No. 123

a = 4.876 Å, b = 4.876 Å, c = 3.794 Å
α = 90.00°, β = 90.00°, γ = 90.00°
Each line ends with the local moment (μB).
Fractional coordinates of all 5 atoms:
O: 0.000 0.000 0.500  0.36
P: 0.000 0.500 0.000  0.03
P: 0.500 0.000 0.000  0.03
Ga: 0.500 0.500 0.500  0.00
Pt: 0.000 0.000 0.000  0.25

[13]
AcMgHgRh after structural relaxation. Source: Alexandria, functional PBE.

Calculated formation energy: -309 meV per atom
Space group: F-43m, No. 216

a = 5.173 Å, b = 5.173 Å, c = 5.173 Å
α = 60.00°, β = 60.00°, γ = 60.00°
Fractional coordinates of all 4 atoms:
Hg: 0.250 0.250 0.250
Ac: 0.000 0.000 0.000
Rh: 0.750 0.750 0.750
Mg: 0.500 0.500 0.500

[14]
Tl12GeBi6 after structural relaxation. Source: Alexandria, functional PBE.

Calculated formation energy: 37 meV per atom
Space group: R-3, No. 148

a = 8.520 Å, b = 8.520 Å, c = 8.520 Å
α = 89.54°, β = 89.54°, γ = 89.54°
Fractional coordinates of all 19 atoms:
Bi: 0.113 0.264 0.759
Bi: 0.736 0.241 0.887
Bi: 0.241 0.887 0.736
Bi: 0.759 0.113 0.264
Bi: 0.887 0.736 0.241
Bi: 0.264 0.759 0.113
Tl: 0.519 0.806 0.437
Tl: 0.148 0.054 0.374
Tl: 0.626 0.852 0.946
Tl: 0.852 0.946 0.626
Tl: 0.481 0.194 0.563
Tl: 0.054 0.374 0.148
Tl: 0.374 0.148 0.054
Tl: 0.946 0.626 0.852
Tl: 0.194 0.563 0.481
Tl: 0.437 0.519 0.806
Tl: 0.563 0.481 0.194
Tl: 0.806 0.437 0.519
Ge: 0.000 0.000 0.000

[15]
PrSm2Y6Ho2 after structural relaxation. Source: Alexandria, functional PBE.

Calculated formation energy: 154 meV per atom
Space group: Cmmm, No. 65

a = 6.673 Å, b = 6.673 Å, c = 12.090 Å
α = 101.70°, β = 101.70°, γ = 129.23°
Fractional coordinates of all 11 atoms:
Y: 0.554 0.862 0.209
Y: 0.446 0.138 0.791
Y: 0.288 0.288 0.289
Y: 0.712 0.712 0.711
Y: 0.138 0.446 0.791
Y: 0.862 0.554 0.209
Sm: 0.135 0.865 0.000
Sm: 0.865 0.135 0.000
Ho: 0.297 0.703 0.500
Ho: 0.703 0.297 0.500
Pr: 0.000 0.000 0.500

[16]
CdSe3 after structural relaxation. Source: Alexandria, functional PBE.

Space group: P2/m, No. 10

a = 7.318 Å, b = 2.797 Å, c = 6.221 Å
α = 61.57°, β = 90.00°, γ = 90.00°
Fractional coordinates of all 4 atoms:
Se: 0.000 0.500 0.500
Se: 0.500 0.732 0.786
Se: 0.500 0.268 0.214
Cd: 0.000 0.000 0.000

[17]
SmLuCuPt after structural relaxation. Source: Alexandria, functional PBE.

Calculated formation energy: -750 meV per atom
Space group: F-43m, No. 216

a = 4.929 Å, b = 4.929 Å, c = 4.929 Å
α = 60.00°, β = 60.00°, γ = 60.00°
Fractional coordinates of all 4 atoms:
Sm: 0.000 0.000 0.000
Lu: 0.500 0.500 0.500
Cu: 0.750 0.750 0.750
Pt: 0.250 0.250 0.250

[18]
ErTm3Rh3 after structural relaxation. Source: Alexandria, functional PBE.

Calculated formation energy: -791 meV per atom
Space group: Cmmm, No. 65

a = 6.845 Å, b = 6.845 Å, c = 6.600 Å
α = 89.99°, β = 89.99°, γ = 90.43°
Fractional coordinates of all 14 atoms:
Rh: 0.000 0.000 0.750
Rh: 0.000 0.500 0.251
Rh: 0.500 0.000 0.251
Rh: 0.500 0.000 0.749
Rh: 0.000 0.500 0.749
Rh: 0.000 0.000 0.250
Er: 0.249 0.249 0.000
Er: 0.751 0.751 0.000
Tm: 0.245 0.755 0.500
Tm: 0.755 0.245 0.500
Tm: 0.242 0.758 0.000
Tm: 0.246 0.246 0.500
Tm: 0.754 0.754 0.500
Tm: 0.758 0.242 0.000

[19]
LiZn3Ag3 after structural relaxation. Source: Alexandria, functional PBE.

Calculated formation energy: -115 meV per atom
Space group: P6_3/m, No. 176

a = 4.544 Å, b = 7.527 Å, c = 7.527 Å
α = 120.00°, β = 90.00°, γ = 90.00°
Fractional coordinates of all 14 atoms:
Zn: 0.250 0.961 0.196
Zn: 0.750 0.766 0.961
Zn: 0.750 0.196 0.234
Zn: 0.250 0.804 0.766
Zn: 0.250 0.234 0.039
Zn: 0.750 0.039 0.804
Li: 0.750 0.333 0.667
Li: 0.250 0.667 0.333
Ag: 0.750 0.462 0.091
Ag: 0.750 0.909 0.371
Ag: 0.250 0.538 0.909
Ag: 0.250 0.371 0.462
Ag: 0.250 0.091 0.629
Ag: 0.750 0.629 0.538

[20]
MnAlTcRh after structural relaxation. Source: Alexandria, functional PBE.

Calculated formation energy: -445 meV per atom
Space group: F-43m, No. 216

a = 4.254 Å, b = 4.254 Å, c = 4.254 Å
α = 60.00°, β = 60.00°, γ = 60.00°
Each line ends with the local moment (μB).
Fractional coordinates of all 4 atoms:
Al: 0.250 0.250 0.250  -0.01
Rh: 0.000 0.000 0.000  0.12
Tc: 0.500 0.500 0.500  -0.69
Mn: 0.750 0.750 0.750  2.65

no.,electronic total energy (eV/atom),total magnetic moment (μB per formula unit)
1,-5.58,0.00
2,-5.76,0.00
3,-2.66,0.00
4,-7.92,0.00
5,-5.54,2.97
6,-5.39,0.00
7,-6.39,0.00
8,-3.28,0.00
9,-6.64,0.69
10,-5.75,1.96
11,-2.18,0.00
12,-4.57,0.81
13,-3.65,0.00
14,-2.93,0.00
15,-5.50,0.00
16,-2.69,0.00
17,-5.59,0.00
18,-6.51,0.00
19,-2.16,0.00
20,-8.10,2.06